BeRhCl | PBE | optimized geometry

```
data_BeRhCl
_chemical_formula_sum 'Be2 Rh2 Cl2'
_cell_length_a 3.240
_cell_length_b 3.683
_cell_length_c 8.240
_cell_angle_alpha 90.00
_cell_angle_beta 93.31
_cell_angle_gamma 90.00
_space_group_name_H-M_alt 'P 1 21 1'
_space_group_IT_number 4
loop_
_space_group_symop_operation_xyz
'x,y,z'
'-x,y+1/2,-z'
loop_
_atom_site_label
_atom_site_fract_x
_atom_site_fract_y
_atom_site_fract_z
Be1 0.002 0.000 0.419
Rh1 0.450 0.501 0.380
Cl1 0.264 0.002 0.188
```

**N(E_F)**: 0.00 states/eV/atom

BeRh2Cl | PBE | optimized geometry

```
data_BeRh2Cl
_chemical_formula_sum 'Be2 Rh4 Cl2'
_cell_length_a 2.920
_cell_length_b 2.841
_cell_length_c 14.428
_cell_angle_alpha 90.00
_cell_angle_beta 91.33
_cell_angle_gamma 90.00
_space_group_name_H-M_alt 'P 1 m 1'
_space_group_IT_number 6
loop_
_space_group_symop_operation_xyz
'x,y,z'
'x,-y,z'
loop_
_atom_site_label
_atom_site_fract_x
_atom_site_fract_y
_atom_site_fract_z
Be1 0.000 0.000 0.000
Be2 0.053 0.000 0.448
Rh1 0.027 0.000 0.228
Rh2 0.513 0.500 0.105
Rh3 0.542 0.500 0.355
Rh4 0.563 0.500 0.539
Cl1 0.576 0.000 0.670
Cl2 0.991 0.500 0.902
```

**N(E_F)**: 0.96 states/eV/atom

BeRhCl | PBE | optimized geometry

```
data_BeRhCl
_chemical_formula_sum 'Be4 Rh4 Cl4'
_cell_length_a 2.948
_cell_length_b 5.154
_cell_length_c 11.511
_cell_angle_alpha 90.00
_cell_angle_beta 90.00
_cell_angle_gamma 90.00
_space_group_name_H-M_alt 'F m m 2'
_space_group_IT_number 42
_space_group_name_Hall 'F 2 -2'
loop_
_atom_site_label
_atom_site_fract_x
_atom_site_fract_y
_atom_site_fract_z
Be1 0.000 0.000 0.000
Rh1 0.000 0.000 0.353
Cl1 0.000 0.000 0.626
```

**N(E_F)**: 1.09 states/eV/atom

Number 1: energy above the lowest structure with this stoichiometry 0 meV per atom, E -4.8713 eV/atom, E_form (uncorrected) -0.563 eV/atom. Number 2: energy above the lowest structure with this stoichiometry 49 meV per atom, E -5.3094 eV/atom, E_form (uncorrected) -0.240 eV/atom. Number 3: energy above the lowest structure with this stoichiometry 515 meV per atom, E -4.3564 eV/atom, E_form (uncorrected) -0.048 eV/atom.